## SrHg4Au (GGA-PBE)

Data for an optimized crystal structure of SrHg4Au.

Unit cell a=9.1399 b=9.1399 c=7.0788 alpha=90.00 beta=90.00 gamma=146.76
Last column: nearest neighbours and their distance in Å.
Atoms (fractional coordinates):
Sr 0.1646 0.8354 0.5000  3 Au 3.17-3.26, 8 Hg 3.45-3.51
Sr 0.8354 0.1646 0.0000  3 Au 3.17-3.26, 8 Hg 3.45-3.51
Hg 0.0258 0.9742 0.8717  5 Hg 3.16-3.37, 1 Sr 3.46
Hg 0.2032 0.7968 0.9776  3 Au 2.93-3.02, 3 Hg 3.20-3.21
Hg 0.3653 0.6347 0.6790  1 Au 2.98, 4 Hg 3.05-3.30
Hg 0.4659 0.5341 0.0729  1 Au 2.91, 3 Hg 3.05-3.16
Hg 0.5341 0.4659 0.5729  1 Au 2.91, 3 Hg 3.05-3.16
Hg 0.6347 0.3653 0.1790  1 Au 2.98, 4 Hg 3.05-3.30
Hg 0.7968 0.2032 0.4776  3 Au 2.93-3.02, 3 Hg 3.20-3.21
Hg 0.9742 0.0258 0.3717  5 Hg 3.16-3.37, 1 Sr 3.46
Au 0.3208 0.6792 0.2729  5 Hg 2.91-3.02, 1 Sr 3.17
Au 0.6792 0.3208 0.7729  5 Hg 2.91-3.02, 1 Sr 3.17

Summary:
Its formation energy is -0.314 eV per atom. The energy relative to the lowest polymorph listed for this composition is 0.0000 eV per atom. Its total magnetization is 0.0 μB/f.u.

---

## SrHg6Au6 (GGA-PBE)

Data for an optimized crystal structure of SrHg6Au6.

Unit cell a=7.6886 b=7.6886 c=7.6886 alpha=136.97 beta=97.84 gamma=97.61
Last column: nearest neighbours and their distance in Å.
Atoms (fractional coordinates):
Sr 0.0000 0.0000 0.0000  8 Hg 3.45-3.57, 12 Au 3.54-3.84
Hg 0.1975 0.5000 0.6975  6 Au 2.93-2.95, 2 Hg 3.23
Hg 0.3486 0.3486 0.0000  6 Au 3.06-3.14, 3 Hg 3.07-3.42
Hg 0.3533 0.0000 0.3533  3 Hg 2.96-3.23, 6 Au 3.08-3.27
Hg 0.6467 0.0000 0.6467  3 Hg 2.96-3.23, 6 Au 3.08-3.27
Hg 0.6514 0.6514 0.0000  6 Au 3.06-3.14, 3 Hg 3.07-3.42
Hg 0.8025 0.5000 0.3025  6 Au 2.93-2.95, 2 Hg 3.23
Au 0.0000 0.0000 0.5000  4 Au 2.82-2.92, 6 Hg 2.95-3.08
Au 0.0000 0.5000 0.0000  4 Au 2.82-2.92, 6 Hg 2.95-3.08
Au 0.2120 0.7120 0.5000  4 Au 2.92, 4 Hg 2.93-3.14
Au 0.5000 0.0000 0.0000  4 Au 2.82-2.92, 6 Hg 2.95-3.08
Au 0.5000 0.5000 0.5000  4 Au 2.82-2.92, 6 Hg 2.95-3.08
Au 0.7880 0.2880 0.5000  4 Au 2.92, 4 Hg 2.93-3.14

Summary:
Its formation energy is -0.136 eV per atom. Its total magnetization is 0.0 μB/f.u.

---

## Sr3Hg9Au2 (GGA-PBE)

Data for an optimized crystal structure of Sr3Hg9Au2.

Unit cell a=9.3132 b=9.3132 c=9.3132 alpha=150.31 beta=105.42 gamma=82.26
Last column: nearest neighbours and their distance in Å.
Atoms (fractional coordinates):
Sr 0.0000 0.0000 0.0000  12 Hg 3.60-3.70
Sr 0.3168 0.3168 0.0000  2 Au 3.41, 10 Hg 3.49-3.55
Sr 0.6832 0.6832 0.0000  2 Au 3.41, 10 Hg 3.49-3.55
Hg 0.0316 0.6613 0.3703  4 Hg 2.93-3.05, 1 Au 2.98
Hg 0.1502 0.8671 0.2831  4 Hg 2.97-3.08, 2 Au 3.03
Hg 0.2909 0.6613 0.6297  4 Hg 2.93-3.05, 1 Au 2.98
Hg 0.4159 0.1329 0.2831  4 Hg 2.97-3.08, 2 Au 3.03
Hg 0.5000 0.0000 0.5000  4 Hg 3.08, 4 Au 3.28
Hg 0.5841 0.8671 0.7169  4 Hg 2.97-3.08, 2 Au 3.03
Hg 0.7091 0.3387 0.3703  4 Hg 2.93-3.05, 1 Au 2.98
Hg 0.8498 0.1329 0.7169  4 Hg 2.97-3.08, 2 Au 3.03
Hg 0.9684 0.3387 0.6297  4 Hg 2.93-3.05, 1 Au 2.98
Au 0.3011 0.5000 0.8011  8 Hg 2.98-3.28
Au 0.6989 0.5000 0.1989  8 Hg 2.98-3.28

Summary:
Its formation energy is -0.359 eV per atom. Its total magnetization is 0.0 μB/f.u.

---

## SrHgAu2 (GGA-PBE)

Data for an optimized crystal structure of SrHgAu2.

Unit cell a=3.7644 b=3.7644 c=6.8741 alpha=90.00 beta=90.00 gamma=90.00
Last column: nearest neighbours and their distance in Å.
Atoms (fractional coordinates):
Sr 0.0000 0.0000 0.0000  5 Au 3.22-3.26, 4 Hg 3.40
Hg 0.5000 0.5000 0.6926  5 Au 2.95-3.06
Au 0.0000 0.0000 0.4745  4 Au 3.03, 4 Hg 3.06, 1 Sr 3.26
Au 0.5000 0.5000 0.2640  1 Hg 2.95, 4 Au 3.03, 4 Sr 3.22

Summary:
Its formation energy is -0.398 eV per atom. Its total magnetization is 0.0 μB/f.u.

---

## SrHg2Au (GGA-PBE)

Data for an optimized crystal structure of SrHg2Au.

Unit cell a=5.0518 b=5.0518 c=5.6380 alpha=117.50 beta=117.50 gamma=61.84
Last column: nearest neighbours and their distance in Å.
Atoms (fractional coordinates):
Sr 0.0000 0.0000 0.0000  4 Au 3.26-3.30, 5 Hg 3.28-3.53
Hg 0.5176 0.5176 0.5594  3 Au 2.98-3.02, 3 Hg 3.17-3.19
Hg 0.7667 0.7667 0.3045  4 Hg 3.17-3.54, 4 Sr 3.28-3.31, 3 Au 3.37-3.52
Au 0.2277 0.2277 0.6912  3 Hg 2.98-3.02, 4 Sr 3.26-3.30

Summary:
Its formation energy is -0.434 eV per atom. Its total magnetization is 0.0 μB/f.u.

---

## Sr3Hg2Au3 (GGA-PBE)

Data for an optimized crystal structure of Sr3Hg2Au3.

Unit cell a=9.3388 b=9.3388 c=6.3631 alpha=90.00 beta=90.00 gamma=120.00
Last column: nearest neighbours and their distance in Å.
Atoms (fractional coordinates):
Sr 0.0000 0.3091 0.2500  5 Au 3.11-3.21
Sr 0.0000 0.6909 0.7500  5 Au 3.11-3.21
Sr 0.3091 0.0000 0.2500  5 Au 3.11-3.21
Sr 0.3091 0.3091 0.7500  5 Au 3.11-3.21
Sr 0.6909 0.0000 0.7500  5 Au 3.11-3.21
Sr 0.6909 0.6909 0.2500  5 Au 3.11-3.21
Hg 0.3333 0.6667 0.0000  2 Hg 3.18, 6 Au 3.40
Hg 0.3333 0.6667 0.5000  2 Hg 3.18, 6 Au 3.40
Hg 0.6667 0.3333 0.0000  2 Hg 3.18, 6 Au 3.40
Hg 0.6667 0.3333 0.5000  2 Hg 3.18, 6 Au 3.40
Au 0.0000 0.3574 0.7500  5 Sr 3.11-3.21, 4 Hg 3.40
Au 0.0000 0.6426 0.2500  5 Sr 3.11-3.21, 4 Hg 3.40
Au 0.3574 0.0000 0.7500  5 Sr 3.11-3.21, 4 Hg 3.40
Au 0.3574 0.3574 0.2500  5 Sr 3.11-3.21, 4 Hg 3.40
Au 0.6426 0.0000 0.2500  5 Sr 3.11-3.21, 4 Hg 3.40
Au 0.6426 0.6426 0.7500  5 Sr 3.11-3.21, 4 Hg 3.40

Summary:
Its formation energy is -0.588 eV per atom. Its total magnetization is 0.0 μB/f.u.

---

## SrHgAu5 (GGA-PBE)

Data for an optimized crystal structure of SrHgAu5.

Unit cell a=9.0483 b=5.8806 c=11.5683 alpha=90.00 beta=90.00 gamma=90.00
Last column: nearest neighbours and their distance in Å.
Atoms (fractional coordinates):
Sr 0.2419 0.2500 0.0600  11 Au 3.30-3.59, 2 Hg 3.56-3.61
Sr 0.2581 0.7500 0.5600  11 Au 3.30-3.59, 2 Hg 3.56-3.61
Sr 0.7419 0.2500 0.4400  11 Au 3.30-3.59, 2 Hg 3.56-3.61
Sr 0.7581 0.7500 0.9400  11 Au 3.30-3.59, 2 Hg 3.56-3.61
Hg 0.1368 0.7500 0.8575  6 Au 2.79-3.09
Hg 0.3632 0.2500 0.3575  6 Au 2.79-3.09
Hg 0.6368 0.7500 0.6425  6 Au 2.79-3.09
Hg 0.8632 0.2500 0.1425  6 Au 2.79-3.09
Au 0.0650 0.0119 0.3106  7 Au 2.80-3.08, 2 Hg 3.01-3.09
Au 0.0650 0.4881 0.3106  7 Au 2.80-3.08, 2 Hg 3.01-3.09
Au 0.0783 0.7500 0.0944  1 Hg 2.79, 5 Au 2.84-3.02
Au 0.1009 0.2500 0.5223  6 Au 2.84-3.02, 1 Hg 3.04
Au 0.1807 0.2500 0.7662  7 Au 2.82-2.95, 2 Hg 3.15
Au 0.3193 0.7500 0.2662  7 Au 2.82-2.95, 2 Hg 3.15
Au 0.3991 0.7500 0.0223  6 Au 2.84-3.02, 1 Hg 3.04
Au 0.4217 0.2500 0.5944  1 Hg 2.79, 5 Au 2.84-3.02
Au 0.4350 0.5119 0.8106  7 Au 2.80-3.08, 2 Hg 3.01-3.09
Au 0.4350 0.9881 0.8106  7 Au 2.80-3.08, 2 Hg 3.01-3.09
Au 0.5650 0.0119 0.1894  7 Au 2.80-3.08, 2 Hg 3.01-3.09
Au 0.5650 0.4881 0.1894  7 Au 2.80-3.08, 2 Hg 3.01-3.09
Au 0.5783 0.7500 0.4056  1 Hg 2.79, 5 Au 2.84-3.02
Au 0.6009 0.2500 0.9777  6 Au 2.84-3.02, 1 Hg 3.04
Au 0.6807 0.2500 0.7338  7 Au 2.82-2.95, 2 Hg 3.15
Au 0.8193 0.7500 0.2338  7 Au 2.82-2.95, 2 Hg 3.15
Au 0.8991 0.7500 0.4777  6 Au 2.84-3.02, 1 Hg 3.04
Au 0.9217 0.2500 0.9056  1 Hg 2.79, 5 Au 2.84-3.02
Au 0.9350 0.5119 0.6894  7 Au 2.80-3.08, 2 Hg 3.01-3.09
Au 0.9350 0.9881 0.6894  7 Au 2.80-3.08, 2 Hg 3.01-3.09

Summary:
Its formation energy is -0.361 eV per atom. Its total magnetization is 0.0 μB/f.u.

---

## Sr2HgAu (GGA-PBE)

Data for an optimized crystal structure of Sr2HgAu.

Unit cell a=4.8734 b=6.4041 c=6.4041 alpha=40.03 beta=90.00 gamma=90.00
Last column: nearest neighbours and their distance in Å.
Atoms (fractional coordinates):
Sr 0.0000 0.0000 0.0000  4 Au 3.35, 3 Hg 3.40-3.41
Sr 0.5000 0.2791 0.2791  3 Au 3.36-3.45, 4 Hg 3.36
Hg 0.0000 0.7171 0.7171  2 Au 3.10, 7 Sr 3.36-3.41
Au 0.5000 0.5581 0.5581  2 Hg 3.10, 7 Sr 3.35-3.45

Summary:
Its formation energy is -0.637 eV per atom. Its total magnetization is 0.0 μB/f.u.

---

## Sr3Hg3Au8 (GGA-PBE)

Data for an optimized crystal structure of Sr3Hg3Au8.

Unit cell a=9.0225 b=9.0225 c=9.0225 alpha=149.18 beta=113.07 gamma=75.48
Last column: nearest neighbours and their distance in Å.
Atoms (fractional coordinates):
Sr 0.0000 0.0000 0.0000  12 Au 3.42-3.64, 4 Hg 3.79
Sr 0.2955 0.2955 0.0000  12 Au 3.31-3.66, 2 Hg 3.56
Sr 0.7045 0.7045 0.0000  12 Au 3.31-3.66, 2 Hg 3.56
Hg 0.2954 0.5000 0.7954  6 Au 2.86-3.11, 2 Hg 3.15
Hg 0.5000 0.0000 0.5000  4 Au 2.95, 4 Hg 3.15
Hg 0.7046 0.5000 0.2046  6 Au 2.86-3.11, 2 Hg 3.15
Au 0.0306 0.6668 0.3638  4 Au 2.71-2.90, 1 Hg 2.86
Au 0.1410 0.8612 0.2798  3 Au 2.82-2.90, 3 Hg 2.95-3.11
Au 0.3030 0.6668 0.6362  4 Au 2.71-2.90, 1 Hg 2.86
Au 0.4185 0.1388 0.2798  3 Au 2.82-2.90, 3 Hg 2.95-3.11
Au 0.5815 0.8612 0.7202  3 Au 2.82-2.90, 3 Hg 2.95-3.11
Au 0.6970 0.3332 0.3638  4 Au 2.71-2.90, 1 Hg 2.86
Au 0.8590 0.1388 0.7202  3 Au 2.82-2.90, 3 Hg 2.95-3.11
Au 0.9694 0.3332 0.6362  4 Au 2.71-2.90, 1 Hg 2.86

Summary:
Its formation energy is -0.486 eV per atom. Its total magnetization is 0.0 μB/f.u.

---

## SrHg3Au (GGA-PBE)

Data for an optimized crystal structure of SrHg3Au.

Unit cell a=10.4753 b=5.3084 c=9.6122 alpha=90.00 beta=90.00 gamma=90.00
Last column: nearest neighbours and their distance in Å.
Atoms (fractional coordinates):
Sr 0.2400 0.2500 0.0183  3 Au 3.23-3.31, 8 Hg 3.43-3.59
Sr 0.2600 0.7500 0.5183  3 Au 3.23-3.31, 8 Hg 3.43-3.59
Sr 0.7400 0.2500 0.4817  3 Au 3.23-3.31, 8 Hg 3.43-3.59
Sr 0.7600 0.7500 0.9817  3 Au 3.23-3.31, 8 Hg 3.43-3.59
Hg 0.0706 0.7500 0.1580  2 Au 2.82-2.83, 1 Hg 3.08
Hg 0.0749 0.2500 0.4033  1 Au 2.93, 1 Hg 3.05
Hg 0.1108 0.7500 0.8406  5 Hg 3.05-3.35, 2 Au 3.05
Hg 0.3892 0.2500 0.3406  5 Hg 3.05-3.35, 2 Au 3.05
Hg 0.4251 0.7500 0.9033  1 Au 2.93, 1 Hg 3.05
Hg 0.4294 0.2500 0.6580  2 Au 2.82-2.83, 1 Hg 3.08
Hg 0.5706 0.7500 0.3420  2 Au 2.82-2.83, 1 Hg 3.08
Hg 0.5749 0.2500 0.0967  1 Au 2.93, 1 Hg 3.05
Hg 0.6108 0.7500 0.6594  5 Hg 3.05-3.35, 2 Au 3.05
Hg 0.8892 0.2500 0.1594  5 Hg 3.05-3.35, 2 Au 3.05
Hg 0.9251 0.7500 0.5967  1 Au 2.93, 1 Hg 3.05
Hg 0.9294 0.2500 0.8420  2 Au 2.82-2.83, 1 Hg 3.08
Au 0.1611 0.2500 0.6932  5 Hg 2.82-3.05
Au 0.3389 0.7500 0.1932  5 Hg 2.82-3.05
Au 0.6611 0.2500 0.8068  5 Hg 2.82-3.05
Au 0.8389 0.7500 0.3068  5 Hg 2.82-3.05

Summary:
Its formation energy is -0.380 eV per atom. The energy relative to the lowest polymorph listed for this composition is 0.0000 eV per atom. Its total magnetization is 0.0 μB/f.u.

---

Here are the calculated N(E_F) numbers, same order: 2.5; 4.4; 5.5; 1.4; 2.4; 3.2; 2.0; 1.8; 3.9; 1.8 (states/eV/f.u.).